1.
# CaPrY4Se8

A geometry-optimized CaPrY4Se8 structure (PBE, the Alexandria database).

Properties
Raw formation energy ... -1806 meV per atom
E_tot ... -6.128 eV/atom

POSCAR file:
```
CaPrY4Se8
1.0
4.244 2.450 7.020
-4.244 2.450 7.020
0.000 -4.901 7.020
Ca Pr Y Se
1 1 4 8
Direct
0.000 0.000 0.000 Ca
0.372 0.372 0.372 Pr
0.372 0.372 0.880 Y
0.372 0.880 0.372 Y
0.748 0.748 0.748 Y
0.880 0.372 0.372 Y
0.127 0.127 0.597 Se
0.127 0.597 0.127 Se
0.134 0.134 0.134 Se
0.144 0.622 0.622 Se
0.597 0.127 0.127 Se
0.615 0.615 0.615 Se
0.622 0.144 0.622 Se
0.622 0.622 0.144 Se
```

---

2.
# Ti3NbTe

A geometry-optimized Ti3NbTe structure (PBE, the Alexandria database).

Properties
Raw formation energy ... 779 meV per atom
ΔE to the lowest computed polymorph ... 0.820 eV per atom
E_tot ... -6.600 eV/atom

POSCAR file:
```
Ti3NbTe
1.0
4.838 0.000 0.000
0.000 4.838 0.000
0.000 0.000 4.838
Ti Nb Te
3 1 1
Direct
0.000 0.000 0.500 Ti
0.000 0.500 0.000 Ti
0.500 0.000 0.000 Ti
0.000 0.000 0.000 Nb
0.500 0.500 0.500 Te
```

---

3.
# Ba2Li5Au4

A geometry-optimized Ba2Li5Au4 structure (PBE, the Alexandria database).

Properties
E_tot ... -2.906 eV/atom
Formation energy ... -494 meV/atom

POSCAR file:
```
Ba2Li5Au4
1.0
0.000 5.292 7.885
3.068 0.000 7.885
3.068 5.292 0.000
Ba Li Au
2 5 4
Direct
0.148 0.148 0.852 Ba
0.852 0.852 0.148 Ba
0.000 0.000 0.500 Li
0.250 0.250 0.250 Li
0.500 0.500 0.000 Li
0.500 0.500 0.500 Li
0.750 0.750 0.750 Li
0.218 0.519 0.481 Au
0.481 0.782 0.218 Au
0.519 0.218 0.782 Au
0.782 0.481 0.519 Au
```

---

4.
# LaY2Te2

A geometry-optimized LaY2Te2 structure (PBE, the Alexandria database).

Properties
Raw formation energy ... -1067 meV per atom
E_tot ... -5.895 eV/atom

POSCAR file:
```
LaY2Te2
1.0
8.566 0.000 0.000
0.000 8.566 0.000
0.000 0.000 3.961
La Y Te
2 4 4
Direct
0.000 0.000 0.000 La
0.500 0.500 0.000 La
0.153 0.347 0.500 Y
0.347 0.847 0.500 Y
0.653 0.153 0.500 Y
0.847 0.653 0.500 Y
0.144 0.644 0.000 Te
0.356 0.144 0.000 Te
0.644 0.856 0.000 Te
0.856 0.356 0.000 Te
```

---

5.
# Ce5RuPt2

A geometry-optimized Ce5RuPt2 structure (PBE, the Alexandria database).

Properties
E_tot ... -6.972 eV/atom
Formation energy ... -594 meV/atom

POSCAR file:
```
Ce5RuPt2
1.0
2.389 -5.156 0.000
2.389 5.156 0.000
0.000 0.000 15.202
Ce Ru Pt
10 2 4
Direct
0.072 0.928 0.586 Ce
0.072 0.928 0.914 Ce
0.269 0.731 0.250 Ce
0.415 0.585 0.616 Ce
0.415 0.585 0.884 Ce
0.585 0.415 0.116 Ce
0.585 0.415 0.384 Ce
0.731 0.269 0.750 Ce
0.928 0.072 0.086 Ce
0.928 0.072 0.414 Ce
0.052 0.948 0.750 Ru
0.948 0.052 0.250 Ru
0.255 0.745 0.065 Pt
0.255 0.745 0.435 Pt
0.745 0.255 0.565 Pt
0.745 0.255 0.935 Pt
```

---

6.
# Rb4Pr3PaTe8

A geometry-optimized Rb4Pr3PaTe8 structure (PBE, the Alexandria database).

Properties
Raw formation energy ... -1276 meV per atom
E_tot ... -4.578 eV/atom

POSCAR file:
```
Rb4Pr3PaTe8
1.0
4.629 2.672 8.620
-4.629 2.672 8.620
0.000 -5.345 8.620
Rb Pr Pa Te
4 3 1 8
Direct
0.000 0.000 0.000 Rb
0.000 0.500 0.500 Rb
0.500 0.000 0.500 Rb
0.500 0.500 0.000 Rb
0.000 0.000 0.500 Pr
0.000 0.500 0.000 Pr
0.500 0.000 0.000 Pr
0.500 0.500 0.500 Pa
0.236 0.236 0.236 Te
0.243 0.731 0.731 Te
0.269 0.269 0.757 Te
0.269 0.757 0.269 Te
0.731 0.243 0.731 Te
0.731 0.731 0.243 Te
0.757 0.269 0.269 Te
0.764 0.764 0.764 Te
```

---

7.
# LiEuTmPb

A geometry-optimized LiEuTmPb structure (PBE, the Alexandria database).

Properties
E_tot ... -5.361 eV/atom
Formation energy ... -269 meV/atom

POSCAR file:
```
LiEuTmPb
1.0
0.000 3.817 3.817
3.817 0.000 3.817
3.817 3.817 0.000
Li Eu Tm Pb
1 1 1 1
Direct
0.000 0.000 0.000 Li
0.250 0.250 0.250 Eu
0.750 0.750 0.750 Tm
0.500 0.500 0.500 Pb
```

---

8.
# CaTmI5

A geometry-optimized CaTmI5 structure (PBE, the Alexandria database).

Properties
Raw formation energy ... -1384 meV per atom
E_tot ... -3.416 eV/atom

POSCAR file:
```
CaTmI5
1.0
5.947 -5.416 0.000
5.947 5.416 0.000
-5.490 0.000 10.615
Ca Tm I
2 2 10
Direct
0.060 0.940 0.750 Ca
0.940 0.060 0.250 Ca
0.000 0.500 0.000 Tm
0.500 0.000 0.500 Tm
0.162 0.630 0.855 I
0.218 0.265 0.502 I
0.238 0.762 0.250 I
0.265 0.218 0.002 I
0.370 0.838 0.645 I
0.630 0.162 0.355 I
0.735 0.782 0.998 I
0.762 0.238 0.750 I
0.782 0.735 0.498 I
0.838 0.370 0.145 I
```

---

9.
# NdLuCdIn

A geometry-optimized NdLuCdIn structure (PBE, the Alexandria database).

Properties
E_tot ... -3.616 eV/atom
Formation energy ... -381 meV/atom

POSCAR file:
```
NdLuCdIn
1.0
0.000 3.779 3.779
3.779 0.000 3.779
3.779 3.779 0.000
Nd Lu Cd In
1 1 1 1
Direct
0.000 0.000 0.000 Nd
0.500 0.500 0.500 Lu
0.250 0.250 0.250 Cd
0.750 0.750 0.750 In
```

---

10.
# Y4InSbH

A geometry-optimized Y4InSbH structure (PBE, the Alexandria database).

Properties
E_tot ... -5.787 eV/atom

POSCAR file:
```
Y4InSbH
1.0
3.212 -8.406 0.000
3.212 8.406 0.000
0.000 0.000 6.433
Y In Sb H
8 2 2 2
Direct
0.000 0.500 0.000 Y
0.000 0.500 0.500 Y
0.071 0.929 0.750 Y
0.427 0.573 0.750 Y
0.500 0.000 0.000 Y
0.500 0.000 0.500 Y
0.573 0.427 0.250 Y
0.929 0.071 0.250 Y
0.114 0.886 0.250 In
0.886 0.114 0.750 In
0.387 0.613 0.250 Sb
0.613 0.387 0.750 Sb
0.290 0.710 0.750 H
0.710 0.290 0.250 H
```

---

11.
# AcAl2InAu5

A geometry-optimized AcAl2InAu5 structure (PBE, the Alexandria database).

Properties
E_tot ... -3.748 eV/atom
Formation energy ... -335 meV/atom

POSCAR file:
```
AcAl2InAu5
1.0
4.822 0.000 0.000
0.000 4.822 0.000
0.000 0.000 9.277
Ac Al In Au
1 2 1 5
Direct
0.000 0.000 0.000 Ac
0.500 0.500 0.262 Al
0.500 0.500 0.738 Al
0.000 0.000 0.500 In
0.000 0.500 0.331 Au
0.000 0.500 0.669 Au
0.500 0.000 0.331 Au
0.500 0.000 0.669 Au
0.500 0.500 0.000 Au
```

---

12.
# SrTlBiAu

A geometry-optimized SrTlBiAu structure (PBE, the Alexandria database).

Properties
E_tot ... -3.188 eV/atom
Formation energy ... -387 meV/atom

POSCAR file:
```
SrTlBiAu
1.0
0.000 3.864 3.864
3.864 0.000 3.864
3.864 3.864 0.000
Sr Tl Bi Au
1 1 1 1
Direct
0.000 0.000 0.000 Sr
0.250 0.250 0.250 Tl
0.500 0.500 0.500 Bi
0.750 0.750 0.750 Au
```

---

13.
# MgAg

A geometry-optimized MgAg structure (PBE, the Alexandria database).

Properties
E_tot ... -2.397 eV/atom
Formation energy ... -174 meV/atom

POSCAR file:
```
MgAg
1.0
9.498 0.000 0.000
0.000 8.312 0.000
0.000 0.000 5.766
Mg Ag
12 12
Direct
0.116 0.055 0.250 Mg
0.116 0.445 0.750 Mg
0.347 0.609 0.250 Mg
0.347 0.891 0.750 Mg
0.378 0.250 0.000 Mg
0.378 0.250 0.500 Mg
0.622 0.750 0.000 Mg
0.622 0.750 0.500 Mg
0.653 0.109 0.250 Mg
0.653 0.391 0.750 Mg
0.884 0.555 0.250 Mg
0.884 0.945 0.750 Mg
0.112 0.750 0.000 Ag
0.112 0.750 0.500 Ag
0.136 0.114 0.750 Ag
0.136 0.386 0.250 Ag
0.397 0.560 0.750 Ag
0.397 0.940 0.250 Ag
0.603 0.060 0.750 Ag
0.603 0.440 0.250 Ag
0.864 0.614 0.750 Ag
0.864 0.886 0.250 Ag
0.888 0.250 0.000 Ag
0.888 0.250 0.500 Ag
```

---

14.
# SrPr4Ho3Te8

A geometry-optimized SrPr4Ho3Te8 structure (PBE, the Alexandria database).

Properties
Raw formation energy ... -1388 meV per atom
E_tot ... -5.117 eV/atom

POSCAR file:
```
SrPr4Ho3Te8
1.0
4.426 2.555 7.485
-4.426 2.555 7.485
0.000 -5.111 7.485
Sr Pr Ho Te
1 4 3 8
Direct
0.000 0.000 0.000 Sr
0.000 0.000 0.500 Pr
0.000 0.500 0.000 Pr
0.500 0.000 0.000 Pr
0.500 0.500 0.500 Pr
0.000 0.500 0.500 Ho
0.500 0.000 0.500 Ho
0.500 0.500 0.000 Ho
0.251 0.251 0.738 Te
0.251 0.738 0.251 Te
0.256 0.256 0.256 Te
0.262 0.749 0.749 Te
0.738 0.251 0.251 Te
0.744 0.744 0.744 Te
0.749 0.262 0.749 Te
0.749 0.749 0.262 Te
```

---

15.
# Y4CdMo

A geometry-optimized Y4CdMo structure (PBE, the Alexandria database).

Properties
E_tot ... -5.512 eV/atom
Formation energy ... 755 meV/atom

POSCAR file:
```
Y4CdMo
1.0
0.000 4.318 4.318
4.318 0.000 4.318
4.318 4.318 0.000
Y Cd Mo
4 1 1
Direct
0.376 0.376 0.376 Y
0.376 0.376 0.872 Y
0.376 0.872 0.376 Y
0.872 0.376 0.376 Y
0.000 0.000 0.000 Cd
0.750 0.750 0.750 Mo
```

---

16.
# BaAsPbN2

A geometry-optimized BaAsPbN2 structure (PBE, the Alexandria database).

Properties
Raw formation energy ... 1430 meV per atom
E_tot ... -3.957 eV/atom

POSCAR file:
```
BaAsPbN2
1.0
4.752 0.000 0.000
0.000 4.752 0.000
0.000 0.000 6.804
Ba As Pb N
1 1 1 2
Direct
0.000 0.000 0.000 Ba
0.500 0.500 0.000 As
0.000 0.000 0.500 Pb
0.000 0.500 0.500 N
0.500 0.000 0.500 N
```

---

17.
# RbHg2Au

A geometry-optimized RbHg2Au structure (PBE, the Alexandria database).

Properties
ΔE to the lowest computed polymorph ... 0.037 eV per atom
E_tot ... -1.430 eV/atom
Formation energy ... -218 meV/atom

POSCAR file:
```
RbHg2Au
1.0
2.485 1.435 6.120
-2.485 1.435 6.120
0.000 -2.870 6.120
Rb Hg Au
1 2 1
Direct
0.000 0.000 0.000 Rb
0.209 0.209 0.209 Hg
0.791 0.791 0.791 Hg
0.500 0.500 0.500 Au
```

---

18.
# PmTlCuAg

A geometry-optimized PmTlCuAg structure (PBE, the Alexandria database).

Properties
E_tot ... -3.700 eV/atom
Formation energy ... -183 meV/atom

POSCAR file:
```
PmTlCuAg
1.0
0.000 3.506 3.506
3.506 0.000 3.506
3.506 3.506 0.000
Pm Tl Cu Ag
1 1 1 1
Direct
0.000 0.000 0.000 Pm
0.500 0.500 0.500 Tl
0.250 0.250 0.250 Cu
0.750 0.750 0.750 Ag
```

---

19.
# CaAsSe

A geometry-optimized CaAsSe structure (PBE, the Alexandria database).

Properties
Raw formation energy ... -329 meV per atom
E_tot ... -3.708 eV/atom

POSCAR file:
```
CaAsSe
1.0
3.821 0.000 0.000
-1.910 3.309 0.000
0.000 0.000 6.112
Ca As Se
1 1 1
Direct
0.000 0.000 0.000 Ca
0.333 0.667 0.628 As
0.667 0.333 0.312 Se
```

---

20.
# TcOF3

A geometry-optimized TcOF3 structure (PBE, the Alexandria database).

Properties
Raw formation energy ... -1729 meV per atom
ΔE to the lowest computed polymorph ... 0.031 eV per atom
E_tot ... -5.916 eV/atom

POSCAR file:
```
TcOF3
1.0
4.377 2.527 1.249
-4.377 2.527 1.249
0.000 -5.054 1.249
Tc O F
1 1 3
Direct
0.000 0.000 0.000 Tc
0.500 0.500 0.500 O
0.247 0.880 0.880 F
0.880 0.247 0.880 F
0.880 0.880 0.247 F
```

---

21.
# CaReTcAg2

A geometry-optimized CaReTcAg2 structure (PBE, the Alexandria database).

Properties
E_tot ... -3.646 eV/atom
Formation energy ... 2458 meV/atom

POSCAR file:
```
CaReTcAg2
1.0
4.793 0.000 0.000
0.000 4.793 0.000
0.000 0.000 4.577
Ca Re Tc Ag
1 1 1 2
Direct
0.000 0.000 0.000 Ca
0.500 0.500 0.500 Re
0.000 0.000 0.500 Tc
0.000 0.500 0.000 Ag
0.500 0.000 0.000 Ag
```

---

22.
# Cs6MoAs4

A geometry-optimized Cs6MoAs4 structure (PBE, the Alexandria database).

Properties
E_tot ... -3.561 eV/atom
Formation energy ... -420 meV/atom

POSCAR file:
```
Cs6MoAs4
1.0
11.088 0.000 0.000
-5.544 9.603 0.000
0.000 0.000 8.986
Cs Mo As
12 2 8
Direct
0.070 0.535 0.000 Cs
0.147 0.293 0.318 Cs
0.147 0.853 0.318 Cs
0.293 0.147 0.818 Cs
0.465 0.535 0.000 Cs
0.465 0.930 0.000 Cs
0.535 0.070 0.500 Cs
0.535 0.465 0.500 Cs
0.707 0.853 0.318 Cs
0.853 0.147 0.818 Cs
0.853 0.707 0.818 Cs
0.930 0.465 0.500 Cs
0.333 0.667 0.605 Mo
0.667 0.333 0.105 Mo
0.213 0.426 0.690 As
0.213 0.787 0.690 As
0.333 0.667 0.335 As
0.426 0.213 0.190 As
0.574 0.787 0.690 As
0.667 0.333 0.835 As
0.787 0.213 0.190 As
0.787 0.574 0.190 As
```

---

23.
# K4CrPt

A geometry-optimized K4CrPt structure (PBE, the Alexandria database).

Properties
E_tot ... -2.471 eV/atom
Formation energy ... 871 meV/atom

POSCAR file:
```
K4CrPt
1.0
0.000 4.741 4.741
4.741 0.000 4.741
4.741 4.741 0.000
K Cr Pt
4 1 1
Direct
0.123 0.123 0.123 K
0.123 0.123 0.630 K
0.123 0.630 0.123 K
0.630 0.123 0.123 K
0.500 0.500 0.500 Cr
0.750 0.750 0.750 Pt
```